## 1
The following is a DFT calculation (PBE-GGA) of an optimized crystal structure of Y2CuTcH.

Properties
mass density	6.53	Mg/m³

Cell: 4.934 4.934 3.555 Å, 90.00 90.00 90.00°
Fractional positions:
Y 0.500 0.000 0.000
Y 0.000 0.500 0.000
Cu 0.500 0.500 0.500
Tc 0.000 0.000 0.500
H 0.000 0.000 0.000

***

## 2
The following is a DFT calculation (PBE-GGA) of an optimized crystal structure of Y2CuTcH.

Properties
mass density	5.73	Mg/m³

Cell: 5.288 3.530 5.288 Å, 90.00 90.00 90.00°
Fractional positions:
Y 0.000 0.000 0.500
Y 0.500 0.000 0.000
Tc 0.000 0.000 0.000
H 0.000 0.500 0.000
Cu 0.500 0.500 0.500

***

Unit: meV/atom. Relative energies: 1 0; 2 482.

***

## 1
The following is a DFT calculation (PBE-GGA) of an optimized crystal structure of Zr2CuTcH.

Properties
mass density	7.86	Mg/m³

Cell: 4.580 4.580 3.477 Å, 90.00 90.00 90.00°
Fractional positions:
H 0.000 0.000 0.000
Zr 0.500 0.000 0.000
Zr 0.000 0.500 0.000
Cu 0.000 0.000 0.500
Tc 0.500 0.500 0.500

***

## 2
The following is a DFT calculation (PBE-GGA) of an optimized crystal structure of Zr2CuTcH.

Properties
mass density	7.71	Mg/m³

Cell: 4.531 4.531 3.620 Å, 90.00 90.00 90.00°
Fractional positions:
Cu 0.500 0.500 0.500
H 0.000 0.000 0.000
Zr 0.500 0.000 0.000
Zr 0.000 0.500 0.000
Tc 0.000 0.000 0.500

***

Unit: meV/atom. Relative energies: 1 0; 2 46.

***

## 1
The following is a DFT calculation (PBE-GGA) of an optimized crystal structure of CuTe2H.

Properties
mass density	6.57	Mg/m³

Cell: 8.347 8.347 8.347 Å, 23.44 23.44 23.44°
Fractional positions:
H 0.500 0.500 0.500
Te 0.898 0.898 0.898
Te 0.102 0.102 0.102
Cu 0.000 0.000 0.000

***

## 2
The following is a DFT calculation (PBE-GGA) of an optimized crystal structure of CuTe2H.

Properties
mass density	5.59	Mg/m³

Cell: 7.056 7.056 7.056 Å, 33.44 33.44 33.44°
Fractional positions:
Te 0.099 0.099 0.099
Te 0.901 0.901 0.901
H 0.000 0.000 0.000
Cu 0.500 0.500 0.500

***

Unit: meV/atom. Relative energies: 1 421; 2 0.

***

## 1
The following is a DFT calculation (PBE-GGA) of an optimized crystal structure of CuTe2H.

Properties
mass density	5.43	Mg/m³

Cell: 5.404 6.615 11.323 Å, 74.93 90.00 90.00°
Fractional positions:
H 0.546 0.030 0.634
H 0.454 0.530 0.134
H 0.546 0.470 0.866
H 0.454 0.970 0.366
Te 0.763 0.493 0.146
Te 0.748 0.937 0.936
Te 0.237 0.507 0.854
Te 0.237 0.993 0.646
Te 0.252 0.063 0.064
Te 0.748 0.563 0.564
Te 0.252 0.437 0.436
Te 0.763 0.007 0.354
Cu 0.250 0.885 0.888
Cu 0.250 0.615 0.612
Cu 0.750 0.385 0.388
Cu 0.750 0.115 0.112

***

## 2
The following is a DFT calculation (PBE-GGA) of an optimized crystal structure of CuTe2H.

Properties
mass density	6.28	Mg/m³

Cell: 5.687 5.687 6.598 Å, 64.47 64.47 90.00°
Fractional positions:
H 0.500 0.500 0.000
H 0.250 0.750 0.500
Te 0.875 0.834 0.750
Te 0.584 0.125 0.250
Te 0.166 0.625 0.250
Te 0.375 0.416 0.750
Cu 0.750 0.250 0.500
Cu 0.000 0.000 0.000

***

Unit: meV/atom. Relative energies: 1 0; 2 217.

***

## 1
The following is a DFT calculation (PBE-GGA) of an optimized crystal structure of CuTeH.

Properties
mass density	4.17	Mg/m³

Cell: 2.798 6.900 4.284 Å, 86.20 70.94 78.30°
Fractional positions:
H 0.268 0.464 0.000
Cu 0.700 0.600 0.000
Te 0.032 0.936 0.000

***

## 2
The following is a DFT calculation (PBE-GGA) of an optimized crystal structure of CuTeH.

Properties
mass density	5.82	Mg/m³

Cell: 4.379 5.142 8.163 Å, 126.70 122.31 90.17°
Fractional positions:
H 0.982 0.842 0.363
H 0.322 0.445 0.204
Cu 0.000 0.317 0.881
Cu 0.303 0.970 0.685
Te 0.642 0.583 0.525
Te 0.661 0.705 0.042

***

Unit: meV/atom. Relative energies: 1 224; 2 0.

***

## 1
The following is a DFT calculation (PBE-GGA) of an optimized crystal structure of CuTeH.

Properties
mass density	4.86	Mg/m³

Cell: 5.157 3.273 10.372 Å, 101.01 91.34 128.90°
Fractional positions:
Te 0.306 0.392 0.050
Te 0.990 0.807 0.435
Cu 0.411 0.128 0.268
Cu 0.886 0.071 0.217
H 0.639 0.168 0.773
H 0.658 0.029 0.712

***

## 2
The following is a DFT calculation (PBE-GGA) of an optimized crystal structure of CuTeH.

Properties
mass density	6.53	Mg/m³

Cell: 3.967 3.930 3.134 Å, 90.00 90.00 89.99°
Fractional positions:
Te 0.590 0.273 0.000
Cu 0.089 0.772 0.000
H 0.092 0.772 0.500

***

## 3
The following is a DFT calculation (PBE-GGA) of an optimized crystal structure of CuTeH.

Properties
mass density	6.72	Mg/m³

Cell: 3.783 3.783 4.264 Å, 116.34 116.34 90.00°
Fractional positions:
H 0.566 0.566 0.131
Cu 0.338 0.338 0.676
Te 0.946 0.946 0.893

***

Unit: meV/atom. Relative energies: 1 0; 2 211; 3 314.